[1]
# NdPuIrAu

NdPuIrAu after structural relaxation (PBE-GGA, the Alexandria database).

The space group is F-43m (No. 216) and the conventional cell measures 7.1609, 7.1609 and 7.1609 Å, with angles of 90.00, 90.00 and 90.00 degrees. The inequivalent atoms are Nd at (0.0000, 0.0000, 0.0000), Pu at (0.0000, 0.0000, 0.5000), Ir at (0.2500, 0.2500, 0.2500) and Au at (0.2500, 0.2500, 0.7500).

Its calculated formation energy is -0.499 eV/atom. The total energy is -8.309 eV per atom.

=====

[2]
# TbSmTmGa

TbSmTmGa after structural relaxation (PBE-GGA, the Alexandria database).

The space group is F-43m (No. 216) and the conventional cell measures 7.5479, 7.5479 and 7.5479 Å, with angles of 90.00, 90.00 and 90.00 degrees. The inequivalent atoms are Tb at (0.0000, 0.0000, 0.0000), Sm at (0.0000, 0.0000, 0.5000), Tm at (0.2500, 0.2500, 0.7500) and Ga at (0.2500, 0.2500, 0.2500).

Its calculated formation energy is -0.101 eV/atom. The total energy is -4.313 eV per atom.

=====

[3]
# Be2NbAg

Be2NbAg after structural relaxation (PBE-GGA, the Alexandria database).

The space group is Fm-3m (No. 225) and the conventional cell measures 5.9360, 5.9360 and 5.9360 Å, with angles of 90.00, 90.00 and 90.00 degrees. The inequivalent atoms are Be at (0.2500, 0.2500, 0.2500), Nb at (0.0000, 0.0000, 0.0000) and Ag at (0.0000, 0.0000, 0.5000).

Its calculated formation energy is 0.216 eV/atom. The total energy is -4.878 eV per atom.

=====

[4]
# HfAlIr

HfAlIr after structural relaxation (PBE-GGA, the Alexandria database).

The space group is Amm2 (No. 38) and the conventional cell measures 8.2115, 5.3538 and 9.1876 Å, with angles of 90.00, 90.00 and 90.00 degrees. The inequivalent atoms are Hf at (0.1791, 0.0000, 0.0000), Hf at (0.2903, 0.0000, 0.6640), Al at (0.2460, 0.0000, 0.3240), Al at (0.5000, 0.2415, 0.9154), Ir at (0.0000, 0.0000, 0.4961), Ir at (0.0000, 0.2470, 0.7452) and Ir at (0.5000, 0.0000, 0.1580).

Its calculated formation energy is -0.804 eV/atom. The total energy is -8.323 eV per atom.

=====

[5]
# La3SmHo3S8

La3SmHo3S8 after structural relaxation (PBE-GGA, the Alexandria database).

The space group is R-3m (No. 166, hexagonal axes) and the conventional cell measures 7.9533, 7.9533 and 20.0264 Å, with angles of 90.00, 90.00 and 120.00 degrees. The inequivalent atoms are La at (0.0000, 0.5000, 0.0000), Sm at (0.0000, 0.0000, 0.5000), Ho at (0.0000, 0.5000, 0.5000), S at (0.0000, 0.0000, 0.2429) and S at (0.0089, 0.5045, 0.7551).

The total energy is -6.511 eV per atom.

=====

[6]
# YSc2Cd5

YSc2Cd5 after structural relaxation (PBE-GGA, the Alexandria database).

The space group is I4/mmm (No. 139) and the conventional cell measures 5.0064, 5.0064 and 14.5280 Å, with angles of 90.00, 90.00 and 90.00 degrees. The inequivalent atoms are Y at (0.0000, 0.0000, 0.0000), Sc at (0.0000, 0.0000, 0.2592), Cd at (0.0000, 0.0000, 0.5000) and Cd at (0.0000, 0.5000, 0.1295).

Its calculated formation energy is -0.282 eV/atom. The total energy is -3.245 eV per atom.

=====

Number 1: N(E_F) 47.0 states/eV per cell. Number 2: N(E_F) 27.2 states/eV per cell. Number 3: N(E_F) 9.5 states/eV per cell. Number 4: N(E_F) 15.1 states/eV per cell. Number 5: N(E_F) 23.0 states/eV per cell. Number 6: N(E_F) 8.9 states/eV per cell.